Record 1
4
Lattice="-0.574 2.005 1.723 0.673 -2.343 2.950 5.283 1.514 -0.002" Properties=species:S:1:pos:R:3 comment="SCAN TcRuPt2, PBEsol geometry" vol_a3_per_cell=56.9 delta_e_f_ev_per_atom=-0.12 dos_ef_per_ev_cell=3.8 e_above_lowest_polymorph_mev_per_atom=18.5 pbc="T T T"
Ru 2.708 0.776 -0.001
Tc 3.946 0.948 2.335
Pt 5.249 1.505 -0.002
Pt 1.402 0.219 2.336

Record 2
4
Lattice="-2.356 0.302 3.025 -0.319 -3.830 0.134 4.353 1.595 0.786" Properties=species:S:1:pos:R:3 comment="SCAN TcRuPt2, PBEsol geometry" vol_a3_per_cell=56.7 delta_e_f_ev_per_atom=-0.11 dos_ef_per_ev_cell=4.8 e_above_lowest_polymorph_mev_per_atom=35.5 pbc="T T T"
Ru 0.000 0.000 0.000
Tc 0.330 0.067 2.695
Pt -1.337 -1.764 1.579
Pt 1.348 -2.000 1.250

Record 3
4
Lattice="3.587 0.000 0.000 0.000 3.587 0.000 0.000 0.000 6.513" Properties=species:S:1:pos:R:3 comment="SCAN Te2RuPt, PBEsol geometry" vol_a3_per_cell=83.8 e_form_raw_kcal_per_mol_atoms=-2.0 dos_ef_per_ev_cell=2.3 e_above_lowest_polymorph_mev_per_atom=0.0 pbc="T T T"
Pt 0.000 0.000 3.260
Ru 1.793 1.793 4.858
Te 0.000 0.000 5.868
Te 1.793 1.793 2.296

Record 4
4
Lattice="-0.417 -2.596 -2.131 3.358 -0.326 -0.259 -0.011 -3.623 4.416" Properties=species:S:1:pos:R:3 comment="SCAN TeRuPt2, PBEsol geometry" vol_a3_per_cell=65.4 e_form_raw_kcal_per_mol_atoms=4.8 dos_ef_per_ev_cell=3.3 pbc="T T T"
Pt 0.000 -0.088 0.108
Pt 1.468 -2.360 -0.099
Ru -0.006 -1.793 2.185
Te 1.462 -4.115 2.040